Entry 1:
10
Lattice="-3.782 7.294 3.370 3.782 -7.294 3.370 3.782 7.294 -3.370" Properties=species:S:1:pos:R:3 comment="Cs2ZnAs2, optimized geometry, DFT GGA-PBE" e_tot_ev_per_atom=-2.68 pbc="T T T"
As 1.280 -1.331 3.370
As 1.280 1.331 0.000
As 2.502 5.963 3.370
As 2.502 8.625 0.000
Cs -1.298 5.130 3.370
Cs 2.484 2.164 3.370
Cs 1.298 5.130 0.000
Cs 5.080 2.164 0.000
Zn 0.000 0.000 1.685
Zn 0.000 0.000 5.055

---

Entry 2:
8
Lattice="-5.101 1.638 1.787 -1.857 0.366 -5.321 1.641 -6.836 1.973" Properties=species:S:1:pos:R:3 comment="Ag2HgPtSeS3, optimized geometry, DFT GGA-PBE" e_tot_ev_per_atom=-3.47 pbc="T T T"
Ag -3.490 -2.155 1.102
Ag -1.790 -2.822 -2.621
Hg -0.008 -0.006 -0.003
Pt -1.918 -5.739 0.152
S -5.474 0.052 -2.508
S -2.076 -4.109 1.766
S -0.620 -4.679 -1.423
Se -2.410 -0.870 -0.944

---

Entry 3:
8
Lattice="-1.685 5.374 -0.014 -5.068 -1.584 1.880 1.790 0.575 5.309" Properties=species:S:1:pos:R:3 comment="Tb4AsS3, optimized geometry, DFT GGA-PBE" e_tot_ev_per_atom=-6.35 pbc="T T T"
As 0.000 0.000 0.000
S -3.376 1.895 0.933
S 0.052 2.975 2.648
S -1.639 -0.504 3.595
Tb -0.843 2.687 -0.007
Tb -2.534 -0.792 0.940
Tb 0.895 0.288 2.655
Tb -2.482 2.183 3.587

---

Entry 4:
16
Lattice="6.759 0.000 0.000 0.000 7.429 0.000 0.000 0.000 8.451" Properties=species:S:1:pos:R:3 comment="CdTePbO, optimized geometry, DFT GGA-PBE" e_tot_ev_per_atom=-3.76 e_above_lowest_polymorph_ev_per_atom=0.0973 pbc="T T T"
Cd 6.624 1.416 0.409
Cd 0.136 5.131 3.816
Cd 3.515 6.013 4.634
Cd 3.244 2.298 8.042
O 5.189 3.076 0.137
O 1.571 6.790 4.088
O 4.950 4.353 4.362
O 1.809 0.639 8.313
Pb 2.939 6.245 0.106
Pb 3.820 2.530 4.119
Pb 0.441 1.184 4.331
Pb 6.319 4.899 8.344
Te 1.622 3.516 1.959
Te 5.138 7.231 2.266
Te 1.758 3.913 6.184
Te 5.001 0.198 6.492

---

Entry 5:
4
Lattice="-2.873 1.937 3.421 -4.841 -0.216 -0.478 -2.607 -2.899 2.917" Properties=species:S:1:pos:R:3 comment="Hf2MgAl, optimized geometry, DFT GGA-PBE" e_tot_ev_per_atom=-6.09 pbc="T T T"
Al -5.161 -0.589 2.930
Hf 0.000 0.000 0.000
Hf -7.742 -0.884 4.395
Mg -2.581 -0.295 1.465

---

Entry 6:
4
Lattice="0.000 2.967 2.967 2.967 0.000 2.967 2.967 2.967 0.000" Properties=species:S:1:pos:R:3 comment="ZnCuSiTc, optimized geometry, DFT GGA-PBE" e_tot_ev_per_atom=-5.20 e_above_lowest_polymorph_ev_per_atom=0.0000 pbc="T T T"
Cu 4.450 4.450 4.450
Si 0.000 0.000 0.000
Tc 1.483 1.483 1.483
Zn 2.967 2.967 2.967

---

Entry 7:
24
Lattice="-0.680 -3.451 -4.793 2.949 -5.154 -0.394 -9.793 -9.322 4.414" Properties=species:S:1:pos:R:3 comment="Y2NiN, optimized geometry, DFT GGA-PBE" e_tot_ev_per_atom=-7.52 e_above_lowest_polymorph_ev_per_atom=0.0000 pbc="T T T"
N 0.024 -3.106 -3.229
N 1.475 -2.577 -0.197
N 2.246 -5.499 -1.958
N -4.451 -9.244 -1.861
N -5.236 -6.386 -0.189
N -3.072 -8.683 1.089
Ni -1.819 -3.878 0.535
Ni -0.289 -6.463 0.438
Ni -2.067 -5.714 -1.794
Ni -5.457 -12.213 1.022
Ni -7.234 -11.464 -1.210
Ni -5.704 -14.049 -1.308
Y 0.234 -4.345 -1.202
Y -1.201 -4.937 -4.273
Y 0.835 -7.322 -2.830
Y -2.099 -9.092 -1.140
Y -3.015 -6.336 0.678
Y -4.448 -6.915 -2.374
Y -3.075 -11.012 1.601
Y -4.508 -11.591 -1.451
Y -5.424 -8.835 0.367
Y -8.358 -10.605 2.058
Y -6.322 -12.990 3.501
Y -7.757 -13.582 0.429

---

Entry 8:
5
Lattice="-1.364 0.257 4.009 -3.191 -2.001 -1.952 4.494 -4.531 0.338" Properties=species:S:1:pos:R:3 comment="KNiP2Pd, optimized geometry, DFT GGA-PBE" e_tot_ev_per_atom=-5.02 pbc="T T T"
K -3.188 -1.996 -1.939
Ni -0.574 -3.809 -0.575
P -1.190 -2.723 1.371
P 1.117 -3.568 0.984
Pd 0.521 -2.456 2.998

---

Entry 9:
10
Lattice="2.221 -13.474 0.000 2.221 13.474 0.000 0.000 0.000 4.503" Properties=species:S:1:pos:R:3 comment="Nd2YSn7, optimized geometry, DFT GGA-PBE" e_tot_ev_per_atom=-4.98 pbc="T T T"
Nd 2.221 -5.032 2.251
Nd 2.221 5.032 2.251
Sn 2.221 -7.735 0.000
Sn 2.221 -2.542 0.000
Sn 2.221 2.542 0.000
Sn 2.221 7.735 0.000
Sn 2.221 -10.949 2.251
Sn 2.221 0.000 2.251
Sn 2.221 10.949 2.251
Y 0.000 0.000 0.000

---

Entry 10:
9
Lattice="-3.470 -0.559 -1.725 -2.932 -3.554 7.050 -0.758 8.305 -1.169" Properties=species:S:1:pos:R:3 comment="GdDy3Y2NiTe2, optimized geometry, DFT GGA-PBE" e_tot_ev_per_atom=-5.52 pbc="T T T"
Dy -2.435 -1.114 0.816
Dy -1.920 1.695 -1.130
Dy -4.541 3.334 3.610
Gd -1.498 1.930 2.388
Ni -3.671 4.727 5.851
Te -3.946 0.105 3.460
Te -3.216 4.090 0.699
Y -1.753 -2.125 4.215
Y -0.453 4.965 -0.699

---

Entry 11:
8
Lattice="-1.457 -2.453 1.630 2.856 -0.518 -1.539 6.599 3.447 11.086" Properties=species:S:1:pos:R:3 comment="Nb4GaBiN2, optimized geometry, DFT GGA-PBE" e_tot_ev_per_atom=-8.49 pbc="T T T"
Bi 3.280 -0.084 6.116
Ga 0.000 0.000 0.000
N 3.004 -0.335 2.182
N 6.431 1.455 7.939
Nb 1.005 -1.273 2.294
Nb 2.113 1.104 3.549
Nb 4.486 2.343 7.536
Nb 5.555 1.104 9.939

---

Entry 12:
7
Lattice="-3.940 3.940 3.940 3.940 -3.940 3.940 3.940 3.940 -3.940" Properties=species:S:1:pos:R:3 comment="WCl6, optimized geometry, DFT GGA-PBE" e_tot_ev_per_atom=-4.27 e_above_lowest_polymorph_ev_per_atom=0.0000 pbc="T T T"
Cl 0.000 0.000 2.303
Cl 0.000 0.000 5.577
Cl 0.000 2.303 0.000
Cl 2.303 0.000 0.000
Cl 0.000 5.577 0.000
Cl 5.577 0.000 0.000
W 0.000 0.000 0.000